16
Lattice="4.575 0.000 0.000 0.000 6.228 0.000 0.000 0.000 9.305" Properties=species:S:1:pos:R:3 comment="Ti6AlPt | the Alexandria database | PBE | relaxed" space_group=Amm2 crystal_system=orthorhombic energy_ha_per_atom=-0.276 relative_energy_ev_per_atom=0.000 pbc="T T T"
Ti 0.000 0.000 0.000
Ti 0.000 1.373 2.669
Ti 0.000 1.741 7.321
Ti 0.000 3.114 4.652
Ti 0.000 4.487 7.321
Ti 0.000 4.855 2.669
Ti 2.288 0.000 7.229
Ti 2.288 1.492 4.721
Ti 2.288 1.622 0.068
Ti 2.288 3.114 2.576
Ti 2.288 4.606 0.068
Ti 2.288 4.736 4.721
Al 0.000 0.000 5.186
Al 0.000 3.114 0.533
Pt 2.288 0.000 2.213
Pt 2.288 3.114 6.865

---

3
Lattice="4.369 0.000 0.000 -2.185 3.784 0.000 0.000 0.000 2.829" Properties=species:S:1:pos:R:3 comment="TiAlPt | the Alexandria database | PBE | relaxed" space_group=P-6m2 crystal_system=hexagonal energy_ha_per_atom=-0.247 pbc="T T T"
Ti 0.000 0.000 0.000
Al 0.000 2.522 1.415
Pt 2.185 1.261 1.415

---

8
Lattice="4.328 2.499 2.196 -4.328 2.499 2.196 0.000 -4.998 2.196" Properties=species:S:1:pos:R:3 comment="TiAl6Pt | the Alexandria database | PBE | relaxed" space_group=R-3m crystal_system=trigonal energy_ha_per_atom=-0.179 pbc="T T T"
Ti 0.000 0.000 0.000
Al 0.000 -2.268 2.374
Al -1.964 1.134 2.374
Al -1.964 -1.134 4.216
Al 1.964 1.134 2.374
Al 1.964 -1.134 4.216
Al 0.000 2.268 4.216
Pt 0.000 0.000 3.295

---

14
Lattice="4.712 0.000 0.000 0.000 4.712 0.000 0.000 0.000 13.545" Properties=species:S:1:pos:R:3 comment="Ti4Al2Pt | the Alexandria database | PBE | relaxed" space_group=I4/mmm crystal_system=tetragonal energy_ha_per_atom=-0.224 pbc="T T T"
Ti 0.000 0.000 2.499
Ti 0.000 0.000 11.046
Ti 0.000 2.356 0.000
Ti 0.000 2.356 6.773
Ti 2.356 0.000 0.000
Ti 2.356 0.000 6.773
Ti 2.356 2.356 4.273
Ti 2.356 2.356 9.272
Al 0.000 0.000 5.150
Al 0.000 0.000 8.395
Al 2.356 2.356 1.623
Al 2.356 2.356 11.922
Pt 0.000 0.000 0.000
Pt 2.356 2.356 6.773

---

12
Lattice="6.024 0.000 0.000 0.000 6.024 0.000 0.000 0.000 6.024" Properties=species:S:1:pos:R:3 comment="TiAlPt | the Alexandria database | PBE | relaxed" space_group=F-43m crystal_system=cubic energy_ha_per_atom=-0.246 pbc="T T T"
Ti 0.000 0.000 0.000
Ti 0.000 3.012 3.012
Ti 3.012 0.000 3.012
Ti 3.012 3.012 0.000
Al 0.000 0.000 3.012
Al 0.000 3.012 0.000
Al 3.012 0.000 0.000
Al 3.012 3.012 3.012
Pt 1.506 1.506 4.518
Pt 1.506 4.518 1.506
Pt 4.518 1.506 1.506
Pt 4.518 4.518 4.518

---

12
Lattice="5.435 -2.334 0.000 5.435 2.334 0.000 -4.805 0.000 8.046" Properties=species:S:1:pos:R:3 comment="Ti4AlPt7 | the Alexandria database | PBE | relaxed" space_group=C2/m crystal_system=monoclinic energy_ha_per_atom=-0.265 pbc="T T T"
Ti -0.384 0.000 2.199
Ti -1.334 0.000 6.719
Ti 7.400 0.000 1.327
Ti 6.450 0.000 5.847
Al 3.033 0.000 4.023
Pt -2.402 0.000 4.023
Pt 1.309 0.000 0.293
Pt 0.256 0.000 4.803
Pt 3.746 0.000 1.458
Pt 2.320 0.000 6.588
Pt 5.810 0.000 3.243
Pt 4.757 0.000 7.753

---

16
Lattice="6.237 0.000 0.000 0.000 6.237 0.000 0.000 0.000 6.237" Properties=species:S:1:pos:R:3 comment="TiAl2Pt | the Alexandria database | PBE | relaxed" space_group=Fm-3m crystal_system=cubic energy_ha_per_atom=-0.220 pbc="T T T"
Ti 0.000 0.000 0.000
Ti 0.000 3.118 3.118
Ti 3.118 0.000 3.118
Ti 3.118 3.118 0.000
Al 1.559 1.559 1.559
Al 1.559 1.559 4.678
Al 1.559 4.678 1.559
Al 1.559 4.678 4.678
Al 4.678 1.559 1.559
Al 4.678 1.559 4.678
Al 4.678 4.678 1.559
Al 4.678 4.678 4.678
Pt 0.000 0.000 3.118
Pt 0.000 3.118 0.000
Pt 3.118 0.000 0.000
Pt 3.118 3.118 3.118

---

14
Lattice="-3.897 3.897 3.802 3.897 -3.897 3.802 3.897 3.897 -3.802" Properties=species:S:1:pos:R:3 comment="Ti5AlPt8 | the Alexandria database | PBE | relaxed" space_group=I-4 crystal_system=tetragonal energy_ha_per_atom=-0.267 pbc="T T T"
Ti 0.000 0.000 0.000
Ti 4.882 2.283 -0.780
Ti 2.283 2.911 0.780
Ti -0.986 1.613 3.022
Ti 1.613 0.986 4.582
Al 3.897 0.000 1.901
Pt 2.523 3.078 -1.798
Pt 1.374 0.819 2.004
Pt -0.519 2.621 0.598
Pt 4.716 2.523 1.798
Pt 0.519 5.173 0.598
Pt 1.276 3.378 3.204
Pt -0.819 1.374 5.600
Pt -1.276 4.416 3.204

---

16
Lattice="24.275 0.000 0.000 0.000 4.143 0.000 -0.313 0.000 2.747" Properties=species:S:1:pos:R:3 comment="Ti4Al3Pt | the Alexandria database | PBE | relaxed" space_group=C2/m crystal_system=monoclinic energy_ha_per_atom=-0.236 pbc="T T T"
Ti 2.421 0.000 0.285
Ti 5.252 0.000 0.603
Ti 6.572 2.071 2.144
Ti 9.403 2.071 2.463
Ti 14.559 2.071 0.285
Ti 17.390 2.071 0.603
Ti 18.709 0.000 2.144
Ti 21.540 0.000 2.463
Al 0.000 2.071 0.000
Al 3.706 2.071 1.822
Al 8.118 0.000 0.926
Al 12.137 0.000 0.000
Al 15.844 0.000 1.822
Al 20.255 2.071 0.926
Pt -0.157 0.000 1.374
Pt 11.981 2.071 1.374

---

9
Lattice="3.611 -6.932 0.000 3.611 6.932 0.000 0.000 0.000 2.981" Properties=species:S:1:pos:R:3 comment="Ti2Al6Pt | the Alexandria database | PBE | relaxed" space_group=Cmmm crystal_system=orthorhombic energy_ha_per_atom=-0.194 pbc="T T T"
Ti 3.611 4.290 0.000
Ti 3.611 -4.290 0.000
Al 2.282 2.230 1.491
Al 1.389 0.000 0.000
Al 2.282 -2.230 1.491
Al 4.940 2.230 1.491
Al 5.833 0.000 0.000
Al 4.940 -2.230 1.491
Pt 3.611 0.000 1.491

---

6
Lattice="2.149 1.240 6.327 -2.149 1.240 6.327 0.000 -2.481 6.327" Properties=species:S:1:pos:R:3 comment="TiAlPt | the Alexandria database | PBE | relaxed" space_group=R3m crystal_system=trigonal energy_ha_per_atom=-0.249 pbc="T T T"
Ti 0.000 0.000 0.000
Ti 0.000 0.000 3.014
Al 0.000 0.000 7.899
Al 0.000 0.000 11.008
Pt 0.000 0.000 13.603
Pt 0.000 0.000 16.486

---

12
Lattice="2.000 -6.015 0.000 2.000 6.015 0.000 0.000 0.000 7.694" Properties=species:S:1:pos:R:3 comment="Ti5AlPt6 | the Alexandria database | PBE | relaxed" space_group=Cmmm crystal_system=orthorhombic energy_ha_per_atom=-0.277 pbc="T T T"
Ti 0.000 0.000 0.000
Ti 2.000 2.026 0.000
Ti 2.000 2.009 3.847
Ti 2.000 -2.009 3.847
Ti 2.000 -2.026 0.000
Al 0.000 0.000 3.847
Pt 2.000 4.007 1.936
Pt 2.000 4.007 5.758
Pt 2.000 0.000 1.959
Pt 2.000 0.000 5.735
Pt 2.000 -4.007 1.936
Pt 2.000 -4.007 5.758